No. 1
La7Sm12Cd | PBE | optimized geometry

Computed properties:
Uncorrected energy = -88.98 eV/cell
Space-group type = R-3 (148)
Energy relative to the elements = 0.153 eV per atom

Cell: 8.9024 8.9024 8.9024 Å, 89.16 89.16 89.16°
Closest atoms and distances in Å follow each position.
Sites, in units of the cell vectors:
Sm: 0.6581 0.5400 0.8776  5 La 3.60-3.87, 6 Sm 3.61-3.94
Sm: 0.1108 0.9917 0.6692  1 Cd 3.09, 2 La 3.30-3.40
La: 0.7739 0.2108 0.6195  6 Sm 3.30-3.66, 1 La 3.68
Cd: 0.0000 0.0000 0.0000  6 Sm 3.09
Sm: 0.9917 0.6692 0.1108  1 Cd 3.09, 2 La 3.30-3.40
Sm: 0.3419 0.4600 0.1224  5 La 3.60-3.87, 6 Sm 3.61-3.94
Sm: 0.8776 0.6581 0.5400  5 La 3.60-3.87, 6 Sm 3.61-3.94
Sm: 0.0083 0.3308 0.8892  1 Cd 3.09, 2 La 3.30-3.40
Sm: 0.6692 0.1108 0.9917  1 Cd 3.09, 2 La 3.30-3.40
Sm: 0.4600 0.1224 0.3419  5 La 3.60-3.87, 6 Sm 3.61-3.94
Sm: 0.8892 0.0083 0.3308  1 Cd 3.09, 2 La 3.30-3.40
La: 0.3805 0.2261 0.7892  6 Sm 3.30-3.66, 1 La 3.68
La: 0.5000 0.5000 0.5000  6 La 3.68, 6 Sm 3.69
Sm: 0.3308 0.8892 0.0083  1 Cd 3.09, 2 La 3.30-3.40
Sm: 0.5400 0.8776 0.6581  5 La 3.60-3.87, 6 Sm 3.61-3.94
La: 0.6195 0.7739 0.2108  6 Sm 3.30-3.66, 1 La 3.68
La: 0.7892 0.3805 0.2261  6 Sm 3.30-3.66, 1 La 3.68
Sm: 0.1224 0.3419 0.4600  5 La 3.60-3.87, 6 Sm 3.61-3.94
La: 0.2108 0.6195 0.7739  6 Sm 3.30-3.66, 1 La 3.68
La: 0.2261 0.7892 0.3805  6 Sm 3.30-3.66, 1 La 3.68

No. 2
La3Sm3Cd2 | PBE | optimized geometry

Computed properties:
Uncorrected energy = -62.76 eV/cell
Space-group type = Cmcm (63)
Energy relative to the elements = -0.076 eV per atom

Cell: 5.4366 6.6042 16.0336 Å, 90.00 90.00 114.31°
Closest atoms and distances in Å follow each position.
Sites, in units of the cell vectors:
Sm: 0.3578 0.7155 0.5329  3 Cd 3.08-3.37
La: 0.9631 0.9262 0.1090  1 Cd 3.30, 4 Sm 3.54-3.68, 2 La 3.61-3.65
Sm: 0.4546 0.9092 0.2500  2 Cd 3.22, 5 La 3.26-3.54
Cd: 0.2350 0.4699 0.1357  4 Sm 3.08-3.37, 3 La 3.28-3.30
La: 0.2746 0.5492 0.7500  3 Sm 3.26-3.62, 4 Cd 3.28, 2 La 3.65
Sm: 0.6422 0.2845 0.4671  3 Cd 3.08-3.37
Sm: 0.5454 0.0908 0.7500  2 Cd 3.22, 5 La 3.26-3.54
Sm: 0.3578 0.7155 0.9671  3 Cd 3.08-3.37
Cd: 0.7650 0.5301 0.8643  4 Sm 3.08-3.37, 3 La 3.28-3.30
Cd: 0.2350 0.4699 0.3643  4 Sm 3.08-3.37, 3 La 3.28-3.30
Sm: 0.6422 0.2845 0.0329  3 Cd 3.08-3.37
La: 0.7254 0.4508 0.2500  3 Sm 3.26-3.62, 4 Cd 3.28, 2 La 3.65
La: 0.0369 0.0738 0.6090  1 Cd 3.30, 4 Sm 3.54-3.68, 2 La 3.61-3.65
La: 0.0369 0.0738 0.8910  1 Cd 3.30, 4 Sm 3.54-3.68, 2 La 3.61-3.65
Cd: 0.7650 0.5301 0.6357  4 Sm 3.08-3.37, 3 La 3.28-3.30
La: 0.9631 0.9262 0.3910  1 Cd 3.30, 4 Sm 3.54-3.68, 2 La 3.61-3.65